Entry from Alexandria via LeMat-Bulk: a relaxed CdWAu2 crystal (GGA-PBE).

extended XYZ file:
```
4
Lattice="2.8201 0.0000 0.0000 0.0000 4.5483 0.0000 -1.3999 0.0000 5.5961" Properties=species:S:1:pos:R:3 pbc="T T T"
Cd 0.0000 0.0000 0.0000
W 1.4168 2.2742 1.7761
Au 0.0057 0.0000 2.7668
Au 0.0077 2.2742 4.4805
```

Output
The formation energy is 0.361 eV per atom. Its calculated total energy is -19.0 eV for the cell shown. As for the energy above the most stable polymorph in this dataset: 180 meV/atom. The mass density comes out at 15.97 g/cm³.

Entry from Alexandria via LeMat-Bulk: a relaxed HfGaTc crystal (GGA-PBE).

extended XYZ file:
```
12
Lattice="4.4748 0.0000 0.0000 0.0000 3.3798 0.0000 0.0000 0.0000 13.3242" Properties=species:S:1:pos:R:3 pbc="T T T"
Hf 0.0000 0.0000 0.0000
Hf 0.0000 1.6899 6.6621
Hf 2.2374 0.0000 2.5470
Hf 2.2374 1.6899 9.2091
Ga 0.0000 0.0000 4.3241
Ga 0.0000 1.6899 10.9862
Ga 2.2374 0.0000 6.9368
Ga 2.2374 1.6899 0.2747
Tc 0.0000 0.0000 8.8807
Tc 0.0000 1.6899 2.2186
Tc 2.2374 0.0000 11.5140
Tc 2.2374 1.6899 4.8519
```

Output
The formation energy is -0.427 eV per atom. Its calculated total energy is -98.5 eV for the cell shown. As for the energy above the most stable polymorph in this dataset: 35 meV/atom. The mass density comes out at 11.41 g/cm³.

Entry from Alexandria via LeMat-Bulk: a relaxed Sr2Zn2HgPt5 crystal (GGA-PBE).

extended XYZ file:
```
20
Lattice="9.9124 0.0000 0.0000 0.0000 9.9124 0.0000 0.0000 0.0000 3.8986" Properties=species:S:1:pos:R:3 pbc="T T T"
Sr 1.7777 3.1785 0.0000
Sr 3.1785 8.1347 0.0000
Sr 6.7339 1.7777 0.0000
Sr 8.1347 6.7339 0.0000
Zn 1.1832 6.1394 0.0000
Zn 3.7731 1.1832 0.0000
Zn 6.1394 8.7293 0.0000
Zn 8.7293 3.7731 0.0000
Hg 0.0000 0.0000 0.0000
Hg 4.9562 4.9562 0.0000
Pt 0.0000 4.9562 1.9493
Pt 0.6208 7.8076 1.9493
Pt 2.1049 0.6208 1.9493
Pt 2.8513 5.5770 1.9493
Pt 4.3354 2.8513 1.9493
Pt 4.9562 0.0000 1.9493
Pt 5.5770 7.0611 1.9493
Pt 7.0611 4.3354 1.9493
Pt 7.8076 9.2917 1.9493
Pt 9.2917 2.1049 1.9493
```

Output
The formation energy is -0.560 eV per atom. Its calculated total energy is -84.0 eV for the cell shown. The mass density comes out at 12.85 g/cm³.

Entry from Alexandria via LeMat-Bulk: a relaxed PRhAuO2 crystal (GGA-PBE).

extended XYZ file:
```
5
Lattice="3.8261 0.0000 0.0000 0.0000 3.8261 0.0000 0.0000 0.0000 5.5161" Properties=species:S:1:pos:R:3 pbc="T T T"
P 0.0000 0.0000 0.0000
Rh 1.9131 1.9131 0.0000
Au 0.0000 0.0000 2.7580
O 0.0000 1.9131 2.7580
O 1.9131 0.0000 2.7580
```

Output
Its raw formation energy is 4.331 eV per formula unit. Its calculated total energy is -21.6 eV for the cell shown. As for the energy above the most stable polymorph in this dataset: 877 meV/atom. The mass density comes out at 7.46 g/cm³.

Entry from Alexandria via LeMat-Bulk: a relaxed CeTl3Rh2S6 crystal (GGA-PBE).

extended XYZ file:
```
12
Lattice="3.1110 -5.4187 0.0000 3.1110 5.4187 0.0000 -2.4448 0.0000 8.0415" Properties=species:S:1:pos:R:3 pbc="T T T"
Ce 0.0000 0.0000 0.0000
Tl 1.8886 3.6485 4.0208
Tl 1.8886 0.0000 4.0208
Tl 1.8886 -3.6485 4.0208
Rh 3.1110 1.8049 0.0000
Rh 3.1110 -1.8049 0.0000
S 1.1622 2.0263 1.4227
S -0.1052 0.0000 6.6334
S 1.1622 -2.0263 1.4227
S 2.6151 2.0263 6.6188
S 3.8824 0.0000 1.4082
S 2.6151 -2.0263 6.6188
```

Output
Its raw formation energy is -8.708 eV per formula unit. Its calculated total energy is -61.2 eV for the cell shown. The mass density comes out at 7.05 g/cm³.

Entry from Alexandria via LeMat-Bulk: a relaxed LiTl2ZnPb crystal (GGA-PBE).

extended XYZ file:
```
5
Lattice="5.9791 0.0000 0.0000 0.0000 5.9791 0.0000 0.0000 0.0000 5.3463" Properties=species:S:1:pos:R:3 pbc="T T T"
Li 0.0000 0.0000 0.0000
Tl 0.0000 2.9896 2.6732
Tl 2.9896 0.0000 2.6732
Zn 2.9896 2.9896 0.0000
Pb 0.0000 0.0000 2.6732
```

Output
The formation energy is 0.340 eV per atom. Its calculated total energy is -9.9 eV for the cell shown. The mass density comes out at 5.98 g/cm³.